4
Lattice="0.0000 3.0068 3.0068 3.0068 0.0000 3.0068 3.0068 3.0068 0.0000" Properties=species:S:1:pos:R:3 comment="GGA-PBE MnCoW2, relaxed" e_form_ev_per_atom=0.235 magnetic_moment_mub_per_atom=0.63 polymorph_energy_mev_per_atom=106 total_energy_ev_per_cell=-41.2 pbc="T T T"
W 1.5034 1.5034 1.5034
W 4.5102 4.5102 4.5102
Co 3.0068 3.0068 3.0068
Mn 0.0000 0.0000 0.0000